w.
VASP calculation (PBE) on a relaxed NdPdRh crystal.

a = 3.864 Å, b = 4.394 Å, c = 4.394 Å
α = 120.00°, β = 90.00°, γ = 90.00°
Element x y z (fractional)
Pd 0.167 0.000 0.000
Nd 0.667 0.667 0.333
Rh 0.167 0.333 0.667

Space-group type: P-6m2, No. 187
Magnetic moment, Bohr magnetons per cell: 0.0

---

x.
VASP calculation (PBE) on a relaxed NdPdRh crystal.

a = 3.688 Å, b = 3.688 Å, c = 10.041 Å
α = 100.58°, β = 100.58°, γ = 90.00°
Element x y z (fractional)
Rh 0.222 0.222 0.444
Rh 0.778 0.778 0.556
Nd 0.633 0.633 0.266
Nd 0.367 0.367 0.734
Pd 0.066 0.066 0.133
Pd 0.934 0.934 0.867

Space-group type: I4/mmm, No. 139
Magnetic moment, Bohr magnetons per cell: 0.0

---

Which of them is least stable? Easy: x.

---

w.
VASP calculation (PBE) on a relaxed NdPdRh crystal.

a = 3.605 Å, b = 3.605 Å, c = 5.248 Å
α = 110.09°, β = 110.09°, γ = 90.00°
Element x y z (fractional)
Rh 0.620 0.620 0.240
Nd 0.953 0.953 0.907
Pd 0.276 0.276 0.553

Space-group type: I4mm, No. 107
Magnetic moment, Bohr magnetons per cell: 0.0

---

x.
VASP calculation (PBE) on a relaxed NdPdRh crystal.

a = 5.491 Å, b = 5.470 Å, c = 5.470 Å
α = 59.55°, β = 59.87°, γ = 59.87°
Element x y z (fractional)
Pd 0.500 0.000 0.500
Pd 0.500 0.500 0.000
Nd 0.877 0.373 0.373
Nd 0.123 0.627 0.627
Rh 0.500 0.000 0.000
Rh 0.000 0.000 0.000

Space-group type: Imma, No. 74
Magnetic moment, Bohr magnetons per cell: 0.0

---

Which of them is least stable? Easy: w.

---

w.
VASP calculation (PBE) on a relaxed TbNdPdRh crystal.

a = 4.995 Å, b = 4.995 Å, c = 4.995 Å
α = 60.00°, β = 60.00°, γ = 60.00°
Element x y z (fractional)
Tb 0.500 0.500 0.500
Nd 0.000 0.000 0.000
Rh 0.250 0.250 0.250
Pd 0.750 0.750 0.750

Space-group type: F-43m, No. 216
Magnetic moment, Bohr magnetons per cell: 0.0

---

x.
VASP calculation (PBE) on a relaxed TbNdPdRh crystal.

a = 3.797 Å, b = 4.496 Å, c = 5.685 Å
α = 90.00°, β = 109.51°, γ = 90.00°
Element x y z (fractional)
Rh 0.409 0.000 0.819
Tb 0.865 0.500 0.729
Pd 0.583 0.500 0.167
Nd 0.142 0.000 0.285

Space-group type: Amm2, No. 38
Magnetic moment, Bohr magnetons per cell: 0.0

---

Which of them is least stable? Easy: w.